A relaxed structure of AlRu3Cl, computed with PBE.

Unit cell a=4.332 b=4.332 c=4.332 alpha=90.00 beta=90.00 gamma=90.00
Fractional positions:
Al: 0.000 0.000 0.000
Ru: 0.000 0.500 0.500
Ru: 0.500 0.000 0.500
Ru: 0.500 0.500 0.000
Cl: 0.500 0.500 0.500

As for the space-group type: No. 221. Its calculated total energy is -5.742 eV/atom. The density of states at the Fermi level is 1.411 states/eV per atom. The uncorrected formation energy is 0.94 eV per atom. The calculation puts the energy relative to the lowest polymorph listed for this composition at 0.000 eV/atom.